1.
# GaOsN2 (PBE, relaxed)
# D(E_F): 2.50 states/eV/f.u.
# size of the total moment: 1.8 Bohr magnetons per cell
# raw formation energy: 0.49 eV/atom
# VASP energy: -0.532 Ry/atom
data_GaOsN2
_cell_length_a 2.919
_cell_length_b 2.919
_cell_length_c 19.175
_cell_angle_alpha 90.00
_cell_angle_beta 90.00
_cell_angle_gamma 120.00
_space_group_name_H-M_alt 'P 1'
_space_group_IT_number 1
loop_
_space_group_symop_operation_xyz
'x,y,z'
loop_
_atom_site_label
_atom_site_type_symbol
_atom_site_fract_x
_atom_site_fract_y
_atom_site_fract_z
Ga1 Ga 0.000 0.000 0.000
Ga2 Ga 0.333 0.667 0.667
Ga3 Ga 0.667 0.333 0.333
Os1 Os 0.000 0.000 0.500
Os2 Os 0.333 0.667 0.167
Os3 Os 0.667 0.333 0.833
N1 N 0.000 0.000 0.104
N2 N 0.000 0.000 0.896
N3 N 0.333 0.667 0.563
N4 N 0.333 0.667 0.771
N5 N 0.667 0.333 0.229
N6 N 0.667 0.333 0.437

***

2.
# Ga3OsN (PBE, relaxed)
# D(E_F): 2.58 states/eV/f.u.
# offset from the most stable computed form: 0.000 eV/f.u.
# size of the total moment: 0.0 Bohr magnetons per cell
# raw formation energy: 0.65 eV/atom
# VASP energy: -0.373 Ry/atom
data_Ga3OsN
_cell_length_a 4.109
_cell_length_b 4.109
_cell_length_c 4.109
_cell_angle_alpha 90.00
_cell_angle_beta 90.00
_cell_angle_gamma 90.00
_space_group_name_H-M_alt 'P 1'
_space_group_IT_number 1
loop_
_space_group_symop_operation_xyz
'x,y,z'
loop_
_atom_site_label
_atom_site_type_symbol
_atom_site_fract_x
_atom_site_fract_y
_atom_site_fract_z
Ga1 Ga 0.000 0.000 0.500
Ga2 Ga 0.000 0.500 0.000
Ga3 Ga 0.500 0.000 0.000
Os1 Os 0.500 0.500 0.500
N1 N 0.000 0.000 0.000

***

3.
# GaOsSN2 (PBE, relaxed)
# D(E_F): 2.46 states/eV/f.u.
# offset from the most stable computed form: 0.000 eV/f.u.
# size of the total moment: 0.3 Bohr magnetons per cell
# raw formation energy: 0.52 eV/atom
# VASP energy: -0.477 Ry/atom
data_GaOsSN2
_cell_length_a 3.799
_cell_length_b 3.799
_cell_length_c 5.203
_cell_angle_alpha 90.00
_cell_angle_beta 90.00
_cell_angle_gamma 90.00
_space_group_name_H-M_alt 'P 1'
_space_group_IT_number 1
loop_
_space_group_symop_operation_xyz
'x,y,z'
loop_
_atom_site_label
_atom_site_type_symbol
_atom_site_fract_x
_atom_site_fract_y
_atom_site_fract_z
Ga1 Ga 0.000 0.000 0.000
Os1 Os 0.500 0.500 0.500
S1 S 0.500 0.500 0.000
N1 N 0.000 0.500 0.500
N2 N 0.500 0.000 0.500

***

4.
# GaOsSN (PBE, relaxed)
# D(E_F): 1.46 states/eV/f.u.
# offset from the most stable computed form: 0.974 eV/f.u.
# size of the total moment: 0.0 Bohr magnetons per cell
# raw formation energy: 0.31 eV/atom
# VASP energy: -0.468 Ry/atom
data_GaOsSN
_cell_length_a 2.926
_cell_length_b 4.358
_cell_length_c 5.035
_cell_angle_alpha 68.81
_cell_angle_beta 74.16
_cell_angle_gamma 89.89
_space_group_name_H-M_alt 'P 1'
_space_group_IT_number 1
loop_
_space_group_symop_operation_xyz
'x,y,z'
loop_
_atom_site_label
_atom_site_type_symbol
_atom_site_fract_x
_atom_site_fract_y
_atom_site_fract_z
Ga1 Ga 0.000 0.000 0.000
Os1 Os 0.279 0.116 0.429
S1 S 0.702 0.664 0.599
N1 N 0.828 0.497 0.326

***

5.
# GaOsSN (PBE, relaxed)
# D(E_F): 1.26 states/eV/f.u.
# offset from the most stable computed form: 0.353 eV/f.u.
# size of the total moment: 0.0 Bohr magnetons per cell
# raw formation energy: 0.15 eV/atom
# VASP energy: -0.479 Ry/atom
data_GaOsSN
_cell_length_a 9.013
_cell_length_b 3.409
_cell_length_c 5.670
_cell_angle_alpha 90.00
_cell_angle_beta 120.87
_cell_angle_gamma 90.00
_space_group_name_H-M_alt 'P 1'
_space_group_IT_number 1
loop_
_space_group_symop_operation_xyz
'x,y,z'
loop_
_atom_site_label
_atom_site_type_symbol
_atom_site_fract_x
_atom_site_fract_y
_atom_site_fract_z
Ga1 Ga 0.000 0.000 0.000
Ga2 Ga 0.500 0.500 0.000
Os1 Os 0.184 0.500 0.712
Os2 Os 0.684 0.000 0.712
S1 S 0.181 0.500 0.307
S2 S 0.681 0.000 0.307
N1 N 0.129 0.000 0.786
N2 N 0.629 0.500 0.786

***

6.
# GaOsSN (PBE, relaxed)
# D(E_F): 2.15 states/eV/f.u.
# offset from the most stable computed form: 0.207 eV/f.u.
# size of the total moment: 0.0 Bohr magnetons per cell
# raw formation energy: 0.12 eV/atom
# VASP energy: -0.482 Ry/atom
data_GaOsSN
_cell_length_a 3.015
_cell_length_b 3.727
_cell_length_c 11.772
_cell_angle_alpha 90.00
_cell_angle_beta 90.00
_cell_angle_gamma 90.00
_space_group_name_H-M_alt 'P 1'
_space_group_IT_number 1
loop_
_space_group_symop_operation_xyz
'x,y,z'
loop_
_atom_site_label
_atom_site_type_symbol
_atom_site_fract_x
_atom_site_fract_y
_atom_site_fract_z
Ga1 Ga 0.000 0.000 0.000
Ga2 Ga 0.500 0.500 0.500
Os1 Os 0.000 0.500 0.675
Os2 Os 0.500 0.000 0.175
S1 S 0.000 0.500 0.880
S2 S 0.500 0.000 0.380
N1 N 0.000 0.000 0.673
N2 N 0.500 0.500 0.173

***

7.
# GaOsSN2 (PBE, relaxed)
# D(E_F): 4.24 states/eV/f.u.
# offset from the most stable computed form: 6.768 eV/f.u.
# size of the total moment: 3.9 Bohr magnetons per cell
# raw formation energy: 1.87 eV/atom
# VASP energy: -0.378 Ry/atom
data_GaOsSN2
_cell_length_a 3.666
_cell_length_b 3.666
_cell_length_c 5.579
_cell_angle_alpha 90.00
_cell_angle_beta 90.00
_cell_angle_gamma 90.00
_space_group_name_H-M_alt 'P 1'
_space_group_IT_number 1
loop_
_space_group_symop_operation_xyz
'x,y,z'
loop_
_atom_site_label
_atom_site_type_symbol
_atom_site_fract_x
_atom_site_fract_y
_atom_site_fract_z
Ga1 Ga 0.000 0.000 0.000
Os1 Os 0.500 0.500 0.500
S1 S 0.000 0.000 0.500
N1 N 0.000 0.500 0.000
N2 N 0.500 0.000 0.000

***

8.
# GaOsSN (PBE, relaxed)
# D(E_F): 1.06 states/eV/f.u.
# offset from the most stable computed form: 0.569 eV/f.u.
# size of the total moment: 0.0 Bohr magnetons per cell
# raw formation energy: 0.21 eV/atom
# VASP energy: -0.475 Ry/atom
data_GaOsSN
_cell_length_a 4.647
_cell_length_b 3.371
_cell_length_c 4.779
_cell_angle_alpha 90.00
_cell_angle_beta 104.69
_cell_angle_gamma 90.00
_space_group_name_H-M_alt 'P 1'
_space_group_IT_number 1
loop_
_space_group_symop_operation_xyz
'x,y,z'
loop_
_atom_site_label
_atom_site_type_symbol
_atom_site_fract_x
_atom_site_fract_y
_atom_site_fract_z
Ga1 Ga 0.000 0.000 0.000
Os1 Os 0.869 0.500 0.386
S1 S 0.352 0.500 0.227
N1 N 0.916 0.000 0.578

***

9.
# GaOsSN (PBE, relaxed)
# D(E_F): 0.88 states/eV/f.u.
# offset from the most stable computed form: 1.144 eV/f.u.
# size of the total moment: 0.0 Bohr magnetons per cell
# raw formation energy: 0.35 eV/atom
# VASP energy: -0.465 Ry/atom
data_GaOsSN
_cell_length_a 8.170
_cell_length_b 3.107
_cell_length_c 5.368
_cell_angle_alpha 90.00
_cell_angle_beta 127.84
_cell_angle_gamma 90.00
_space_group_name_H-M_alt 'P 1'
_space_group_IT_number 1
loop_
_space_group_symop_operation_xyz
'x,y,z'
loop_
_atom_site_label
_atom_site_type_symbol
_atom_site_fract_x
_atom_site_fract_y
_atom_site_fract_z
Ga1 Ga 0.000 0.000 0.000
Ga2 Ga 0.500 0.500 0.000
Os1 Os 0.208 0.000 0.593
Os2 Os 0.708 0.500 0.593
S1 S 0.423 0.000 0.404
S2 S 0.923 0.500 0.404
N1 N 0.242 0.000 0.017
N2 N 0.742 0.500 0.017

***

10.
# GaOsSN (PBE, relaxed)
# D(E_F): 2.30 states/eV/f.u.
# offset from the most stable computed form: 0.000 eV/f.u.
# size of the total moment: 0.0 Bohr magnetons per cell
# raw formation energy: 0.07 eV/atom
# VASP energy: -0.486 Ry/atom
data_GaOsSN
_cell_length_a 3.677
_cell_length_b 3.750
_cell_length_c 9.754
_cell_angle_alpha 90.00
_cell_angle_beta 90.00
_cell_angle_gamma 90.00
_space_group_name_H-M_alt 'P 1'
_space_group_IT_number 1
loop_
_space_group_symop_operation_xyz
'x,y,z'
loop_
_atom_site_label
_atom_site_type_symbol
_atom_site_fract_x
_atom_site_fract_y
_atom_site_fract_z
Ga1 Ga 0.000 0.000 0.000
Ga2 Ga 0.000 0.500 0.500
Os1 Os 0.500 0.000 0.190
Os2 Os 0.500 0.500 0.690
S1 S 0.000 0.000 0.348
S2 S 0.000 0.500 0.848
N1 N 0.500 0.000 0.684
N2 N 0.500 0.500 0.184

***

11.
# GaOsSN (PBE, relaxed)
# D(E_F): 1.21 states/eV/f.u.
# offset from the most stable computed form: 0.684 eV/f.u.
# size of the total moment: 0.0 Bohr magnetons per cell
# raw formation energy: 0.24 eV/atom
# VASP energy: -0.473 Ry/atom
data_GaOsSN
_cell_length_a 4.542
_cell_length_b 2.933
_cell_length_c 5.285
_cell_angle_alpha 90.00
_cell_angle_beta 98.19
_cell_angle_gamma 90.00
_space_group_name_H-M_alt 'P 1'
_space_group_IT_number 1
loop_
_space_group_symop_operation_xyz
'x,y,z'
loop_
_atom_site_label
_atom_site_type_symbol
_atom_site_fract_x
_atom_site_fract_y
_atom_site_fract_z
Ga1 Ga 0.000 0.000 0.000
Os1 Os 0.967 0.500 0.397
S1 S 0.456 0.500 0.258
N1 N 0.006 0.000 0.645

***

12.
# GaOsSN (PBE, relaxed)
# D(E_F): 1.69 states/eV/f.u.
# offset from the most stable computed form: 0.755 eV/f.u.
# size of the total moment: 0.0 Bohr magnetons per cell
# raw formation energy: 0.25 eV/atom
# VASP energy: -0.472 Ry/atom
data_GaOsSN
_cell_length_a 5.064
_cell_length_b 2.807
_cell_length_c 5.320
_cell_angle_alpha 90.00
_cell_angle_beta 112.75
_cell_angle_gamma 90.00
_space_group_name_H-M_alt 'P 1'
_space_group_IT_number 1
loop_
_space_group_symop_operation_xyz
'x,y,z'
loop_
_atom_site_label
_atom_site_type_symbol
_atom_site_fract_x
_atom_site_fract_y
_atom_site_fract_z
Ga1 Ga 0.000 0.000 0.000
Os1 Os 0.297 0.500 0.783
S1 S 0.973 0.000 0.445
N1 N 0.585 0.000 0.836

***

13.
# GaOsSeN2 (PBE, relaxed)
# D(E_F): 5.31 states/eV/f.u.
# offset from the most stable computed form: 6.772 eV/f.u.
# size of the total moment: 4.1 Bohr magnetons per cell
# raw formation energy: 1.86 eV/atom
# VASP energy: -0.369 Ry/atom
data_GaOsSeN2
_cell_length_a 3.707
_cell_length_b 3.707
_cell_length_c 5.997
_cell_angle_alpha 90.00
_cell_angle_beta 90.00
_cell_angle_gamma 90.00
_space_group_name_H-M_alt 'P 1'
_space_group_IT_number 1
loop_
_space_group_symop_operation_xyz
'x,y,z'
loop_
_atom_site_label
_atom_site_type_symbol
_atom_site_fract_x
_atom_site_fract_y
_atom_site_fract_z
Ga1 Ga 0.000 0.000 0.000
Os1 Os 0.500 0.500 0.500
Se1 Se 0.000 0.000 0.500
N1 N 0.000 0.500 0.000
N2 N 0.500 0.000 0.000